The following is a GGA-PBE calculation of a relaxed structure of BeSBr2, from Alexandria.

abc: 3.3774 3.3774 31.7320
angles: 90.00 90.00 120.00
Space group R-3m (No. 166, hexagonal axes)
One atom of each set of equivalent atoms:
Be1 0.0000 0.0000 0.0000 [3 per cell]
S1 0.0000 0.0000 0.5000 [3 per cell]
Br1 0.0000 0.0000 0.3772 [6 per cell]

Values from the calculation:
- DFT total energy: -2.746 eV per atom
- Formation energy without anion corrections: 54 meV per atom
- Total moment: 1.4 μB/f.u.
- N(E_F): 0.465 states/eV/atom